i) The following is a DFT calculation (PBE) of AlCuNi3 after structural relaxation.

Output
Symmetry = P6_3/mmc (194)
DOS at the Fermi energy = 10.30 states/eV per cell
Magnetization = 0.000 μB per atom

extended XYZ file:
```
10
Lattice="5.884 0.000 0.000 -2.942 5.096 0.000 0.000 0.000 4.390" Properties=species:S:1:pos:R:3 pbc="T T T"
Al 0.000 3.397 1.098
Al 2.942 1.699 3.293
Cu 0.000 0.000 0.000
Cu 0.000 0.000 2.195
Ni 0.000 2.059 3.293
Ni -1.158 4.066 3.293
Ni 1.783 1.030 1.098
Ni 1.158 4.066 3.293
Ni 4.100 1.030 1.098
Ni 2.942 3.036 1.098
```

---

ii) The following is a DFT calculation (PBE) of AlCuNi3 after structural relaxation.

Output
Symmetry = Pm-3m (221)
DOS at the Fermi energy = 0.19 states/eV per cell
Magnetization = 0.000 μB per atom

extended XYZ file:
```
5
Lattice="4.231 0.000 0.000 0.000 4.231 0.000 0.000 0.000 4.231" Properties=species:S:1:pos:R:3 pbc="T T T"
Al 0.000 0.000 0.000
Cu 2.115 2.115 2.115
Ni 0.000 0.000 2.115
Ni 0.000 2.115 0.000
Ni 2.115 0.000 0.000
```

---

It turns out i) is the most stable, with the second structure 637 meV per atom higher.

---

i) The following is a DFT calculation (PBE) of AlCuNi3 after structural relaxation.

Output
Symmetry = Pm-3m (221)
DOS at the Fermi energy = 5.53 states/eV per cell
Magnetization = 0.000 μB per atom

extended XYZ file:
```
5
Lattice="4.248 0.000 0.000 0.000 4.248 0.000 0.000 0.000 4.248" Properties=species:S:1:pos:R:3 pbc="T T T"
Al 0.000 0.000 0.000
Cu 2.124 2.124 2.124
Ni 0.000 2.124 2.124
Ni 2.124 0.000 2.124
Ni 2.124 2.124 0.000
```

---

ii) The following is a DFT calculation (PBE) of AlCuNi3 after structural relaxation.

Output
Symmetry = Pm-3m (221)
DOS at the Fermi energy = 10.30 states/eV per cell
Magnetization = 0.020 μB per atom

extended XYZ file:
```
15
Lattice="5.632 0.000 0.000 0.000 5.632 0.000 0.000 0.000 5.632" Properties=species:S:1:pos:R:3 pbc="T T T"
Al 0.000 0.000 2.816
Al 0.000 2.816 0.000
Al 2.816 0.000 0.000
Cu 0.000 2.816 2.816
Cu 2.816 0.000 2.816
Cu 2.816 2.816 0.000
Ni 1.365 1.365 1.365
Ni 1.365 1.365 4.267
Ni 1.365 4.267 1.365
Ni 1.365 4.267 4.267
Ni 2.816 2.816 2.816
Ni 4.267 1.365 1.365
Ni 4.267 1.365 4.267
Ni 4.267 4.267 1.365
Ni 4.267 4.267 4.267
```

---

It turns out ii) is the most stable, with the second structure 1005 meV per atom higher.